No. 1
{"formula": "Nd6Dy2Er3Tl", "functional": "PBE", "state": "relaxed", "lattice": [[3.0990, -5.3770, 0.0000], [3.0990, 5.3770, 0.0000], [-2.0808, 0.0000, 11.6161]], "species": ["Nd", "Nd", "Nd", "Nd", "Nd", "Nd", "Dy", "Dy", "Er", "Er", "Er", "Tl"], "frac_coords": [[0.0832, 0.4115, 0.7497], [0.2447, 0.2447, 0.2494], [0.4115, 0.0832, 0.7497], [0.5885, 0.9168, 0.2503], [0.7553, 0.7553, 0.7506], [0.9168, 0.5885, 0.2503], [0.3333, 0.6667, 0.5000], [0.6667, 0.3333, 0.5000], [0.1674, 0.8326, 0.0000], [0.5000, 0.5000, 0.0000], [0.8326, 0.1674, 0.0000], [0.0000, 0.0000, 0.5000]], "crystal_system": "monoclinic", "dos_ef_per_ev_cell": 13.4, "formation_energy_mev_per_atom": -11, "rho_g_cm3": 8.1}

=====

No. 2
{"formula": "NdDy2ErTl4", "functional": "PBE", "state": "relaxed", "lattice": [[2.6979, 1.5576, 8.8480], [-2.6979, 1.5576, 8.8480], [0.0000, -3.1152, 8.8480]], "species": ["Nd", "Dy", "Dy", "Er", "Tl", "Tl", "Tl", "Tl"], "frac_coords": [[0.0000, 0.0000, 0.0000], [0.2492, 0.2492, 0.2492], [0.7508, 0.7508, 0.7508], [0.5000, 0.5000, 0.5000], [0.1267, 0.1267, 0.1267], [0.3769, 0.3769, 0.3769], [0.6231, 0.6231, 0.6231], [0.8733, 0.8733, 0.8733]], "crystal_system": "trigonal", "dos_ef_per_ev_cell": 6.8, "formation_energy_mev_per_atom": -341, "rho_g_cm3": 10.8}

=====

No. 3
{"formula": "NdDy2ErTl2", "functional": "PBE", "state": "relaxed", "lattice": [[5.1358, 0.0000, 0.0000], [0.0000, 10.0309, 0.0000], [0.0000, 0.0000, 6.8487]], "species": ["Nd", "Nd", "Dy", "Dy", "Dy", "Dy", "Er", "Er", "Tl", "Tl", "Tl", "Tl"], "frac_coords": [[0.0000, 0.0431, 0.0000], [0.0000, 0.9569, 0.5000], [0.0000, 0.3177, 0.3780], [0.0000, 0.6823, 0.8780], [0.5000, 0.4551, 0.0922], [0.5000, 0.5449, 0.5922], [0.5000, 0.1923, 0.7201], [0.5000, 0.8077, 0.2201], [0.0000, 0.3661, 0.8384], [0.0000, 0.6339, 0.3384], [0.5000, 0.1363, 0.2633], [0.5000, 0.8637, 0.7633]], "crystal_system": "orthorhombic", "dos_ef_per_ev_cell": 12.0, "formation_energy_mev_per_atom": -267, "rho_g_cm3": 9.8}

=====

No. 4
{"formula": "NdDyErTl", "functional": "PBE", "state": "relaxed", "lattice": [[4.8384, 0.0000, 0.0000], [0.0000, 4.8987, 0.0000], [0.0000, 0.0000, 4.9311]], "species": ["Nd", "Dy", "Er", "Tl"], "frac_coords": [[0.0000, 0.0000, 0.0000], [0.5000, 0.5000, 0.0000], [0.5000, 0.0000, 0.5000], [0.0000, 0.5000, 0.5000]], "crystal_system": "orthorhombic", "dos_ef_per_ev_cell": 5.7, "polymorph_energy_mev_per_atom": 0.0, "formation_energy_mev_per_atom": -180, "rho_g_cm3": 9.6}

=====

No. 5
{"formula": "NdDyErTl", "functional": "PBE", "state": "relaxed", "lattice": [[7.7992, 0.0000, 0.0000], [0.0000, 7.7992, 0.0000], [0.0000, 0.0000, 7.7992]], "species": ["Nd", "Nd", "Nd", "Nd", "Dy", "Dy", "Dy", "Dy", "Er", "Er", "Er", "Er", "Tl", "Tl", "Tl", "Tl"], "frac_coords": [[0.0000, 0.0000, 0.0000], [0.0000, 0.5000, 0.5000], [0.5000, 0.0000, 0.5000], [0.5000, 0.5000, 0.0000], [0.0000, 0.0000, 0.5000], [0.0000, 0.5000, 0.0000], [0.5000, 0.0000, 0.0000], [0.5000, 0.5000, 0.5000], [0.2500, 0.2500, 0.2500], [0.2500, 0.7500, 0.7500], [0.7500, 0.2500, 0.7500], [0.7500, 0.7500, 0.2500], [0.2500, 0.2500, 0.7500], [0.2500, 0.7500, 0.2500], [0.7500, 0.2500, 0.2500], [0.7500, 0.7500, 0.7500]], "crystal_system": "cubic", "dos_ef_per_ev_cell": 21.4, "polymorph_energy_mev_per_atom": 131.2, "formation_energy_mev_per_atom": -49, "rho_g_cm3": 9.5}

=====

No. 6
{"formula": "Nd2DyErTl2", "functional": "PBE", "state": "relaxed", "lattice": [[5.1442, 0.0000, 0.0000], [0.0000, 10.1964, 0.0000], [0.0000, 0.0000, 6.8760]], "species": ["Nd", "Nd", "Nd", "Nd", "Dy", "Dy", "Er", "Er", "Tl", "Tl", "Tl", "Tl"], "frac_coords": [[0.0000, 0.0432, 0.0000], [0.0000, 0.9568, 0.5000], [0.5000, 0.1875, 0.2704], [0.5000, 0.8125, 0.7704], [0.5000, 0.4588, 0.9031], [0.5000, 0.5412, 0.4031], [0.0000, 0.3158, 0.6213], [0.0000, 0.6842, 0.1213], [0.0000, 0.3760, 0.1599], [0.0000, 0.6240, 0.6599], [0.5000, 0.1458, 0.7410], [0.5000, 0.8542, 0.2410]], "crystal_system": "orthorhombic", "dos_ef_per_ev_cell": 12.5, "formation_energy_mev_per_atom": -267, "rho_g_cm3": 9.5}